Below is a geometry-optimized Tb3Pm6Er2Tm structure, with properties calculated at the PBE-GGA level.

The calculation puts the total magnetization at 0.000 μB/cell. The calculation puts the formation energy at 0.013 eV/atom.

The space group is C2/m (No. 12) and the conventional cell measures 6.232, 10.792 and 11.810 Å, with angles of 90.00, 100.09 and 90.00 degrees. The asymmetric unit holds Tb at (0.000, 0.000, 0.000), Tb at (0.000, 0.333, 0.000), Pm at (0.250, 0.000, 0.748), Pm at (0.250, 0.167, 0.252), Er at (0.000, 0.167, 0.500) and Tm at (0.000, 0.500, 0.500).

---

Below is a geometry-optimized TbPmEr2Tm5 structure, with properties calculated at the PBE-GGA level.

The calculation puts the total magnetization at 0.004 μB/cell. The calculation puts the formation energy at 0.164 eV/atom.

The space group is Cmc2_1 (No. 36) and the conventional cell measures 5.543, 19.596 and 10.484 Å, with angles of 90.00, 90.00 and 90.00 degrees. The asymmetric unit holds Tb at (0.000, 0.201, 0.000), Pm at (0.000, 0.417, 0.440), Er at (0.000, 0.110, 0.724), Er at (0.000, 0.113, 0.307), Tm at (0.000, 0.018, 0.014), Tm at (0.000, 0.282, 0.298), Tm at (0.000, 0.299, 0.698), Tm at (0.000, 0.390, 0.011) and Tm at (0.000, 0.478, 0.724).

---

Below is a geometry-optimized Tb3PmErTm structure, with properties calculated at the PBE-GGA level.

The calculation puts the total magnetization at 0.000 μB/cell. The calculation puts the formation energy at 0.200 eV/atom.

The space group is C2/m (No. 12) and the conventional cell measures 22.091, 5.418 and 6.755 Å, with angles of 90.00, 98.26 and 90.00 degrees. The asymmetric unit holds Tb at (0.025, 0.000, 0.273), Tb at (0.169, 0.500, 0.276), Tb at (0.226, 0.500, 0.812), Pm at (0.131, 0.000, 0.973), Er at (0.167, 0.000, 0.531) and Tm at (0.072, 0.500, 0.658).

---

Below is a geometry-optimized TbPm2Er3Tm6 structure, with properties calculated at the PBE-GGA level.

The calculation puts the total magnetization at 0.000 μB/cell. The calculation puts the formation energy at 0.023 eV/atom.

The space group is C2/m (No. 12) and the conventional cell measures 6.112, 10.574 and 11.651 Å, with angles of 90.00, 100.05 and 90.00 degrees. The asymmetric unit holds Tb at (0.000, 0.000, 0.000), Pm at (0.000, 0.333, 0.000), Er at (0.000, 0.167, 0.500), Er at (0.000, 0.500, 0.500), Tm at (0.248, 0.000, 0.747) and Tm at (0.248, 0.333, 0.747).

---

Below is a geometry-optimized TbPmEr3Tm structure, with properties calculated at the PBE-GGA level.

The calculation puts the total magnetization at 0.000 μB/cell. The calculation puts the formation energy at 0.022 eV/atom.

The space group is Cmcm (No. 63) and the conventional cell measures 4.998, 15.004 and 10.002 Å, with angles of 90.00, 90.00 and 90.00 degrees. The asymmetric unit holds Tb at (0.000, 0.000, 0.000), Pm at (0.000, 0.500, 0.250), Er at (0.000, 0.168, 0.250), Er at (0.000, 0.332, 0.000) and Tm at (0.000, 0.168, 0.750).

---

Below is a geometry-optimized Tb2PmEr2Tm structure, with properties calculated at the PBE-GGA level.

The calculation puts the total magnetization at 0.002 μB/cell. The calculation puts the formation energy at 0.071 eV/atom.

The space group is Pnnm (No. 58) and the conventional cell measures 6.931, 9.714 and 5.588 Å, with angles of 90.00, 90.00 and 90.00 degrees. The asymmetric unit holds Tb at (0.248, 0.167, 0.000), Pm at (0.000, 0.500, 0.000), Er at (0.249, 0.833, 0.000) and Tm at (0.000, 0.000, 0.500).

---

Below is a geometry-optimized Tb2Pm5ErTm structure, with properties calculated at the PBE-GGA level.

The calculation puts the total magnetization at 0.000 μB/cell. The calculation puts the formation energy at 0.142 eV/atom.

The space group is Cmc2_1 (No. 36) and the conventional cell measures 5.626, 20.269 and 10.652 Å, with angles of 90.00, 90.00 and 90.00 degrees. The asymmetric unit holds Tb at (0.000, 0.112, 0.000), Tb at (0.000, 0.114, 0.573), Pm at (0.000, 0.016, 0.279), Pm at (0.000, 0.279, 0.575), Pm at (0.000, 0.298, 0.969), Pm at (0.000, 0.384, 0.283), Pm at (0.000, 0.483, 0.006), Er at (0.000, 0.408, 0.725) and Tm at (0.000, 0.198, 0.273).

---

Below is a geometry-optimized Tb2PmErTm4 structure, with properties calculated at the PBE-GGA level.

The calculation puts the total magnetization at 11.944 μB/cell. The calculation puts the formation energy at 0.446 eV/atom.

The space group is Imma (No. 74) and the conventional cell measures 6.746, 11.670 and 13.219 Å, with angles of 90.00, 90.00 and 90.00 degrees. The asymmetric unit holds Tb at (0.000, 0.000, 0.000), Tb at (0.250, 0.250, 0.250), Pm at (0.000, 0.000, 0.500), Er at (0.250, 0.250, 0.750), Tm at (0.000, 0.001, 0.751) and Tm at (0.249, 0.250, 0.999).

---

Below is a geometry-optimized Tb2PmEr2Tm2 structure, with properties calculated at the PBE-GGA level.

The calculation puts the total magnetization at 0.002 μB/cell. The calculation puts the formation energy at 0.146 eV/atom.

The space group is C2/m (No. 12) and the conventional cell measures 17.512, 3.479 and 8.331 Å, with angles of 90.00, 116.95 and 90.00 degrees. The asymmetric unit holds Tb at (0.072, 0.000, 0.412), Pm at (0.000, 0.500, 0.000), Er at (0.150, 0.000, 0.893) and Tm at (0.211, 0.500, 0.298).

---

Below is a geometry-optimized Tb2Pm2ErTm4 structure, with properties calculated at the PBE-GGA level.

The calculation puts the total magnetization at 0.001 μB/cell. The calculation puts the formation energy at -0.002 eV/atom.

The space group is C2/m (No. 12) and the conventional cell measures 18.540, 3.572 and 9.495 Å, with angles of 90.00, 115.76 and 90.00 degrees. The asymmetric unit holds Tb at (0.147, 0.000, 0.163), Pm at (0.165, 0.500, 0.501), Er at (0.000, 0.000, 0.500), Tm at (0.020, 0.500, 0.834) and Tm at (0.185, 0.000, 0.836).

---

Below is a geometry-optimized Tb3Pm2ErTm6 structure, with properties calculated at the PBE-GGA level.

The calculation puts the total magnetization at 0.000 μB/cell. The calculation puts the formation energy at 0.020 eV/atom.

The space group is C2/m (No. 12) and the conventional cell measures 6.126, 10.602 and 11.668 Å, with angles of 90.00, 100.04 and 90.00 degrees. The asymmetric unit holds Tb at (0.000, 0.000, 0.000), Tb at (0.000, 0.333, 0.000), Pm at (0.000, 0.167, 0.500), Er at (0.000, 0.500, 0.500), Tm at (0.249, 0.500, 0.249) and Tm at (0.250, 0.166, 0.249).

---

Below is a geometry-optimized TbPmEr2Tm structure, with properties calculated at the PBE-GGA level.

The calculation puts the total magnetization at 0.000 μB/cell. The calculation puts the formation energy at 0.395 eV/atom.

The space group is Cmcm (No. 63) and the conventional cell measures 8.344, 11.382 and 7.171 Å, with angles of 90.00, 90.00 and 90.00 degrees. The asymmetric unit holds Tb at (0.000, 0.001, 0.250), Pm at (0.000, 0.273, 0.250), Er at (0.189, 0.500, 0.000) and Tm at (0.000, 0.279, 0.750).